This record from Alexandria describes P2PbW2 after structural relaxation. The functional is PBE.

Values from the calculation:
ρ   12.40 g cm⁻³
E above lowest polymorph   134 meV per atom
Space group   P4/mbm, No. 127
Magnetic moment   0.00 μB/cell
ΔH_f (0 K)   0.293 eV per atom
E   -7.7935 eV/atom

Geometry as extended XYZ:
```
10
Lattice="7.528 0.000 0.000 0.000 7.528 0.000 0.000 0.000 3.010" Properties=species:S:1:pos:R:3 pbc="T T T"
P 1.027 2.738 0.000
P 2.738 6.502 0.000
P 4.791 1.027 0.000
P 6.502 4.791 0.000
Pb 0.000 0.000 1.505
Pb 3.764 3.764 1.505
W 1.013 4.777 1.505
W 2.751 1.013 1.505
W 4.777 6.515 1.505
W 6.515 2.751 1.505
```

***

This record from Alexandria describes P4PbW after structural relaxation. The functional is PBE.

Values from the calculation:
ρ   6.95 g cm⁻³
E above lowest polymorph   87 meV per atom
Space group   P-1, No. 2
Magnetic moment   0.00 μB/cell
ΔH_f (0 K)   0.150 eV per atom
E   -6.2332 eV/atom

Geometry as extended XYZ:
```
12
Lattice="5.489 0.000 0.000 -2.037 6.935 0.000 -0.471 -3.260 6.462" Properties=species:S:1:pos:R:3 pbc="T T T"
P -0.983 2.181 2.114
P -0.395 6.756 0.027
P 1.382 -1.548 3.147
P 1.188 2.196 2.111
P 1.793 1.480 4.351
P 1.600 5.224 3.315
P 3.376 -3.081 6.435
P 3.964 1.494 4.347
Pb -0.125 -0.927 5.546
Pb 3.106 4.602 0.916
W 0.157 3.322 4.199
W 2.824 0.353 2.262
```

***

This record from Alexandria describes PPbW2 after structural relaxation. The functional is PBE.

Values from the calculation:
ρ   13.95 g cm⁻³
E above lowest polymorph   418 meV per atom
Space group   Cmmm, No. 65
Magnetic moment   0.00 μB/cell
ΔH_f (0 K)   0.687 eV per atom
E   -8.0691 eV/atom

Geometry as extended XYZ:
```
8
Lattice="3.418 0.000 0.000 0.000 5.130 0.000 0.000 0.000 8.228" Properties=species:S:1:pos:R:3 pbc="T T T"
P 0.000 0.000 0.000
P 1.709 2.565 0.000
Pb 0.000 0.000 4.114
Pb 1.709 2.565 4.114
W 0.000 2.565 1.603
W 0.000 2.565 6.625
W 1.709 0.000 1.603
W 1.709 0.000 6.625
```

***

Q: The highest ΔH_f (0 K) belongs to which entry?
A: PPbW2

***

Q: Which of these has the lowest ΔH_f (0 K)?
A: P4PbW

***

What did the third record say?
This record from Alexandria describes PPbW2 after structural relaxation. The functional is PBE.

Values from the calculation:
ρ   13.95 g cm⁻³
E above lowest polymorph   418 meV per atom
Space group   Cmmm, No. 65
Magnetic moment   0.00 μB/cell
ΔH_f (0 K)   0.687 eV per atom
E   -8.0691 eV/atom

Geometry as extended XYZ:
```
8
Lattice="3.418 0.000 0.000 0.000 5.130 0.000 0.000 0.000 8.228" Properties=species:S:1:pos:R:3 pbc="T T T"
P 0.000 0.000 0.000
P 1.709 2.565 0.000
Pb 0.000 0.000 4.114
Pb 1.709 2.565 4.114
W 0.000 2.565 1.603
W 0.000 2.565 6.625
W 1.709 0.000 1.603
W 1.709 0.000 6.625
```